Compound: Li2CoSiO4
Source: Alexandria
Functional: PBE with a Hubbard U
Structure: relaxed

Cell and atoms, written as POSCAR:
```
Li2CoSiO4
1.0
5.304 0.000 0.000
0.000 10.452 0.000
0.000 0.000 13.080
O Co Li Si
32 8 16 8
direct
0.599 0.525 0.209
0.160 0.511 0.309
0.421 0.468 0.918
0.485 0.689 0.813
0.485 0.811 0.313
0.160 0.989 0.809
0.071 0.563 0.065
0.515 0.189 0.813
0.087 0.712 0.463
0.998 0.223 0.672
0.929 0.063 0.065
0.351 0.206 0.049
0.913 0.212 0.463
0.421 0.032 0.418
0.998 0.277 0.172
0.913 0.288 0.963
0.840 0.489 0.809
0.401 0.475 0.709
0.929 0.437 0.565
0.071 0.937 0.565
0.649 0.794 0.549
0.087 0.788 0.963
0.401 0.025 0.209
0.351 0.294 0.549
0.579 0.532 0.418
0.515 0.311 0.313
0.840 0.011 0.309
0.002 0.723 0.672
0.599 0.975 0.709
0.579 0.968 0.918
0.002 0.777 0.172
0.649 0.706 0.049
0.953 0.464 0.187
0.535 0.291 0.942
0.465 0.709 0.442
0.465 0.791 0.942
0.047 0.964 0.187
0.535 0.209 0.442
0.047 0.536 0.687
0.953 0.036 0.687
0.871 0.217 0.302
0.625 0.783 0.701
0.871 0.283 0.802
0.448 0.547 0.062
0.375 0.283 0.701
0.375 0.217 0.201
0.552 0.047 0.062
0.448 0.953 0.562
0.954 0.535 0.437
0.552 0.453 0.562
0.129 0.717 0.302
0.954 0.965 0.937
0.046 0.465 0.937
0.129 0.783 0.802
0.625 0.717 0.201
0.046 0.035 0.437
0.040 0.290 0.559
0.960 0.790 0.559
0.960 0.710 0.059
0.040 0.210 0.059
0.539 0.533 0.813
0.461 0.033 0.813
0.461 0.467 0.313
0.539 0.967 0.313
```

Values from the calculation:
- E above lowest polymorph: 46 meV/atom
- Uncorrected energy: -410.69 eV per cell
- M_tot: 3.000 μB/f.u.